Record 1
Crystalline La2ScBe at its relaxed geometry. Source: Alexandria via LeMat-Bulk, functional GGA-PBE.

It has space group F-43m (No. 216), with a = 7.311 Å, b = 7.311 Å, c = 7.311 Å, α = 90.00°, β = 90.00° and γ = 90.00°. The asymmetric unit holds La at (0.000, 0.000, 0.000), La at (0.250, 0.250, 0.250), Sc at (0.000, 0.000, 0.500) and Be at (0.250, 0.250, 0.750).

As for the density of states at the Fermi level: 7.25 states/eV/f.u. The total DFT energy (no corrections) is -73.78 eV per cell.

***

Record 2
Crystalline LaScBe at its relaxed geometry. Source: Alexandria via LeMat-Bulk, functional GGA-PBE.

It has space group Pnma (No. 62), with a = 6.830 Å, b = 3.388 Å, c = 11.655 Å, α = 90.00°, β = 90.00° and γ = 90.00°. The asymmetric unit holds La at (0.141, 0.250, 0.093), Sc at (0.104, 0.250, 0.371) and Be at (0.132, 0.250, 0.767).

As for the density of states at the Fermi level: 2.56 states/eV/f.u. The energy above the most stable polymorph in this dataset is 0.050 eV/atom.

***

Record 3
Crystalline La2ScBe at its relaxed geometry. Source: Alexandria via LeMat-Bulk, functional GGA-PBE.

It has space group I-4m2 (No. 119), with a = 4.614 Å, b = 4.614 Å, c = 9.721 Å, α = 90.00°, β = 90.00° and γ = 90.00°. The asymmetric unit holds La at (0.000, 0.000, 0.000), La at (0.000, 0.500, 0.250), Sc at (0.000, 0.500, 0.750) and Be at (0.000, 0.000, 0.500).

As for the density of states at the Fermi level: 5.54 states/eV/f.u. The total DFT energy (no corrections) is -37.50 eV per cell.

***

Record 4
Crystalline LaScBe2 at its relaxed geometry. Source: Alexandria via LeMat-Bulk, functional GGA-PBE.

It has space group Amm2 (No. 38), with a = 3.954 Å, b = 3.420 Å, c = 11.890 Å, α = 90.00°, β = 90.00° and γ = 90.00°. The asymmetric unit holds La at (0.000, 0.000, 0.000), Sc at (0.500, 0.000, 0.707), Be at (0.000, 0.000, 0.286) and Be at (0.500, 0.000, 0.374).

As for the density of states at the Fermi level: 4.04 states/eV/f.u. The energy above the most stable polymorph in this dataset is 0.046 eV/atom.

***

Record 5
Crystalline La2ScBe at its relaxed geometry. Source: Alexandria via LeMat-Bulk, functional GGA-PBE.

It has space group Pm (No. 6), with a = 3.571 Å, b = 4.843 Å, c = 6.553 Å, α = 90.00°, β = 105.79° and γ = 90.00°. The asymmetric unit holds La at (0.000, 0.000, 0.000), La at (0.309, 0.500, 0.621), Sc at (0.600, 0.500, 0.199) and Be at (0.706, 0.000, 0.417).

As for the density of states at the Fermi level: 4.91 states/eV/f.u. The total DFT energy (no corrections) is -19.08 eV per cell.

***

Record 6
Crystalline La2Sc2Be at its relaxed geometry. Source: Alexandria via LeMat-Bulk, functional GGA-PBE.

It has space group P4/mbm (No. 127), with a = 7.173 Å, b = 7.173 Å, c = 5.226 Å, α = 90.00°, β = 90.00° and γ = 90.00°. The asymmetric unit holds La at (0.165, 0.335, 0.000), Sc at (0.153, 0.653, 0.500) and Be at (0.000, 0.000, 0.500).

As for the density of states at the Fermi level: 3.68 states/eV/f.u. The total DFT energy (no corrections) is -50.18 eV per cell.

***

Record 7
Crystalline LaScBe at its relaxed geometry. Source: Alexandria via LeMat-Bulk, functional GGA-PBE.

It has space group C2/m (No. 12), with a = 9.637 Å, b = 4.944 Å, c = 7.453 Å, α = 90.00°, β = 130.24° and γ = 90.00°. The asymmetric unit holds La at (0.079, 0.000, 0.306), Sc at (0.152, 0.500, 0.794) and Be at (0.148, 0.500, 0.137).

As for the density of states at the Fermi level: 1.98 states/eV/f.u. The energy above the most stable polymorph in this dataset is 0.077 eV/atom.

***

Record 8
Crystalline La2ScBe at its relaxed geometry. Source: Alexandria via LeMat-Bulk, functional GGA-PBE.

It has space group I-42d (No. 122), with a = 8.573 Å, b = 8.573 Å, c = 6.013 Å, α = 90.00°, β = 90.00° and γ = 90.00°. The asymmetric unit holds La at (0.196, 0.750, 0.125), Sc at (0.000, 0.000, 0.500) and Be at (0.000, 0.000, 0.000).

As for the density of states at the Fermi level: 6.31 states/eV/f.u. The total DFT energy (no corrections) is -73.28 eV per cell.